P.
A relaxed AgMoIr2 crystal. Source: Alexandria, functional PBE.

## Properties
Its density of states at the Fermi level is 0.97 states/eV/atom. The spin magnetization is 0.000 μB per atom.

Lattice parameters (Å, degrees): 2.738 2.738 8.290 90.00 90.00 90.00
Fractional positions:
1 Ag 0.000 0.000 0.000
2 Mo 0.500 0.500 0.732
3 Ir 0.000 0.000 0.491
4 Ir 0.500 0.500 0.261


Q.
A relaxed AgMoIr2 crystal. Source: Alexandria, functional PBE.

## Properties
Its density of states at the Fermi level is 1.30 states/eV/atom. The spin magnetization is 0.001 μB per atom.

Lattice parameters (Å, degrees): 9.387 9.387 9.387 17.14 17.14 17.14
Fractional positions:
1 Ag 0.000 0.000 0.000
2 Mo 0.500 0.500 0.500
3 Ir 0.244 0.244 0.244
4 Ir 0.756 0.756 0.756


Pick the most stable structure from those above. Pick: Q